Record 1
Here is a geometry-optimized Tm12Tl6C structure from Alexandria via LeMat-Bulk. Energies are from PBE-GGA.

a b c (Å): 11.9772 11.9772 12.8391
angles (deg): 90.00 90.00 120.00
Closest atoms and distances in Å follow each position.
Space group R-3 (No. 148, hexagonal axes)
Symmetry-distinct sites (fractional):
Tm (0.0318, 0.1818, 0.3850) (multiplicity 18)  4 Tl 3.04-3.22
Tm (0.0352, 0.8581, 0.8896) (multiplicity 18)  1 C 2.41
Tl (0.0033, 0.3916, 0.2501) (multiplicity 18)  8 Tm 3.04-3.32
C (0.0000, 0.0000, 0.0000) (multiplicity 3)  6 Tm 2.41

---

Record 2
Here is a geometry-optimized CsTl2AuI4 structure from Alexandria via LeMat-Bulk. Energies are from PBE-GGA.

Summary:
formation energy without anion corrections: -701.9 meV/atom

a b c (Å): 4.9159 16.7452 17.6031
angles (deg): 90.00 90.00 90.00
Closest atoms and distances in Å follow each position.
Space group Cmcm (No. 63)
Symmetry-distinct sites (fractional):
Cs (0.0000, 0.1072, 0.2500) (multiplicity 4)  6 I 3.90-3.97
Tl (0.0000, 0.3674, 0.0534) (multiplicity 8)  6 I 3.44-3.60
Au (0.0000, 0.1680, 0.7500) (multiplicity 4)  4 I 2.85-2.87
I (0.0000, 0.0000, 0.0000) (multiplicity 4)  4 Tl 3.44
I (0.0000, 0.2721, 0.6218) (multiplicity 8)  1 Au 2.85
I (0.0000, 0.4208, 0.2500) (multiplicity 4)  2 Au 2.87

---

Record 3
Here is a geometry-optimized Ba2PrUAs4 structure from Alexandria via LeMat-Bulk. Energies are from PBE-GGA.

a b c (Å): 7.5794 4.4092 7.9060
angles (deg): 90.00 108.72 90.00
Closest atoms and distances in Å follow each position.
Space group P2/m (No. 10)
Symmetry-distinct sites (fractional):
Ba (0.0000, 0.0000, 0.0000) (multiplicity 1)  6 As 3.43-3.46
Ba (0.5000, 0.5000, 0.0000) (multiplicity 1)  6 As 3.29
Pr (0.0000, 0.5000, 0.5000) (multiplicity 1)  6 As 3.05
U (0.5000, 0.0000, 0.5000) (multiplicity 1)  6 As 2.84-2.91
As (0.2566, 0.0000, 0.7089) (multiplicity 2)  1 U 2.84, 2 Pr 3.05
As (0.2814, 0.5000, 0.2979) (multiplicity 2)  2 U 2.91, 1 Pr 3.05

---

| no. | energy (eV per atom) |
| --- | --- |
| 1 | -4.2548 |
| 2 | -2.5849 |
| 3 | -5.9016 |